No. 1
AgMoAs2 PBEsol optimized geometry; magnetization = 0.000 μB/atom; E_form = 315 meV per atom; E = -6.008 eV/atom; density = 9.1 Mg/m³; DOS at the Fermi energy = 2.31 states/eV/cell
1.0
-2.119 2.119 3.586
2.119 -2.119 3.586
2.119 2.119 -3.586
Ag Mo As
1 1 2
Cartesian
0.000 0.000 0.000
0.000 0.000 3.586
2.119 0.000 1.793
0.000 2.119 1.793

***

No. 2
BeCr2Br PBEsol optimized geometry; magnetization = 0.154 μB/atom; raw formation energy = 0.7527 eV per atom; E = -5.836 eV/atom; density = 6.1 Mg/m³; DOS at the Fermi energy = 3.03 states/eV/cell
1.0
-1.500 2.114 4.138
1.500 -2.114 4.138
1.500 2.114 -4.138
Be Cr Br
1 2 1
Cartesian
0.000 0.000 0.000
0.000 0.000 4.267
0.000 2.114 2.143
1.500 0.000 2.230

***

No. 3
NdSi2Ru2 PBEsol optimized geometry; magnetization = 0.000 μB/atom; raw formation energy = -0.8937 eV per atom; E = -8.295 eV/atom; density = 7.9 Mg/m³; DOS at the Fermi energy = 2.45 states/eV/cell
1.0
-2.083 2.083 4.853
2.083 -2.083 4.853
2.083 2.083 -4.853
Nd Si Ru
1 2 2
Cartesian
0.000 0.000 0.000
0.000 0.000 3.550
0.000 0.000 6.157
2.083 0.000 2.427
0.000 2.083 2.427

***

No. 4
Zn2NiCl PBEsol optimized geometry; magnetization = 0.000 μB/atom; raw formation energy = 0.0733 eV per atom; E = -2.759 eV/atom; density = 6.3 Mg/m³; DOS at the Fermi energy = 1.92 states/eV/cell
1.0
5.867 -1.395 0.000
5.867 1.395 0.000
-1.233 0.000 3.634
Zn Ni Cl
2 1 1
Cartesian
2.100 0.000 0.730
8.401 0.000 2.904
5.867 0.000 0.000
-0.616 0.000 1.817

***

No. 5
Ba2MnRe PBEsol optimized geometry; magnetization = 0.058 μB/atom; E_form = 766 meV per atom; E = -6.082 eV/atom; density = 7.7 Mg/m³; DOS at the Fermi energy = 4.90 states/eV/cell
1.0
-1.687 1.741 9.456
1.687 -1.741 9.456
1.687 1.741 -9.456
Ba Mn Re
2 1 1
Cartesian
0.000 0.000 2.740
0.000 0.000 16.171
1.687 0.000 0.000
0.000 1.741 0.000

***

No. 6
Na2AsHF PBEsol optimized geometry; magnetization = 0.000 μB/atom; E = -3.202 eV/atom; density = 2.9 Mg/m³; DOS at the Fermi energy = 1.70 states/eV/cell
1.0
5.317 0.000 0.000
0.000 5.317 0.000
0.000 0.000 2.814
Na As H F
2 1 1 1
Cartesian
0.000 2.658 0.000
2.658 0.000 0.000
0.000 0.000 1.407
2.658 2.658 0.000
2.658 2.658 1.407

***

No. 7
Al5Tc24 PBEsol optimized geometry; magnetization = 0.000 μB/atom; E_form = -138 meV per atom; E = -10.167 eV/atom; density = 9.9 Mg/m³; DOS at the Fermi energy = 19.59 states/eV/cell
1.0
-4.704 4.704 4.704
4.704 -4.704 4.704
4.704 4.704 -4.704
Al Tc
5 24
Cartesian
0.000 0.000 0.000
1.689 1.689 -1.689
1.689 -1.689 1.689
-1.689 1.689 1.689
3.015 3.015 3.015
4.355 1.334 -1.334
4.355 -1.334 1.334
6.745 0.855 -0.855
6.745 -0.855 0.855
2.664 0.855 0.855
3.849 3.849 -2.041
3.849 -2.041 3.849
5.053 1.334 1.334
1.334 4.355 -1.334
1.334 -1.334 4.355
0.855 2.664 0.855
0.855 0.855 2.664
3.371 3.371 0.349
3.371 0.349 3.371
-1.334 4.355 1.334
-1.334 1.334 4.355
0.855 6.745 -0.855
0.855 -0.855 6.745
1.334 5.053 1.334
1.334 1.334 5.053
0.349 3.371 3.371
-0.855 6.745 0.855
-0.855 0.855 6.745
-2.041 3.849 3.849

***

No. 8
SrPt4Br PBEsol optimized geometry; magnetization = 0.000 μB/atom; raw formation energy = -0.2485 eV per atom; E = -5.509 eV/atom; density = 14.0 Mg/m³; DOS at the Fermi energy = 9.39 states/eV/cell
1.0
0.000 3.829 3.829
3.829 0.000 3.829
3.829 3.829 0.000
Sr Pt Br
1 4 1
Cartesian
0.000 0.000 0.000
4.787 2.872 2.872
2.872 4.787 2.872
2.872 2.872 4.787
4.787 4.787 4.787
1.915 1.915 1.915

***

No. 9
Tl2CrSe PBEsol optimized geometry; magnetization = 1.127 μB/atom; raw formation energy = 0.3659 eV per atom; E = -4.472 eV/atom; density = 9.5 Mg/m³; DOS at the Fermi energy = 1.45 states/eV/cell
1.0
1.888 1.090 7.657
-1.888 1.090 7.657
0.000 -2.180 7.657
Tl Cr Se
2 1 1
Cartesian
0.000 0.000 5.742
0.000 0.000 17.231
0.000 0.000 0.000
0.000 0.000 11.486

***

No. 10
K2ZrMo PBEsol optimized geometry; magnetization = 0.005 μB/atom; E_form = 787 meV per atom; E = -4.994 eV/atom; density = 3.1 Mg/m³; DOS at the Fermi energy = 4.28 states/eV/cell
1.0
3.179 0.000 0.000
0.000 4.171 0.000
0.000 0.000 10.736
K Zr Mo
2 1 1
Cartesian
0.000 0.000 0.000
1.590 2.086 4.158
1.590 2.086 7.557
0.000 0.000 7.319

***

No. 11
Zn2SbCl PBEsol optimized geometry; magnetization = 0.000 μB/atom; raw formation energy = 0.0787 eV per atom; E = -2.354 eV/atom; density = 5.7 Mg/m³; DOS at the Fermi energy = 1.21 states/eV/cell
1.0
3.045 0.000 0.000
0.000 5.257 0.000
-1.223 0.000 5.231
Zn Sb Cl
2 1 1
Cartesian
0.265 0.000 1.480
1.557 0.000 3.750
0.000 2.628 0.000
-0.612 2.628 2.615

***

No. 12
SrMo2Pt PBEsol optimized geometry; magnetization = 0.000 μB/atom; E_form = 543 meV per atom; E = -7.542 eV/atom; density = 10.3 Mg/m³; DOS at the Fermi energy = 2.85 states/eV/cell
1.0
-1.603 2.560 4.649
1.603 -2.560 4.649
1.603 2.560 -4.649
Sr Mo Pt
1 2 1
Cartesian
0.000 0.000 0.000
0.000 0.000 4.894
0.000 2.560 2.003
1.603 0.000 2.608

***

No. 13
MgTePCl2 PBEsol optimized geometry; magnetization = 0.203 μB/atom; raw formation energy = -0.2716 eV per atom; E = -3.282 eV/atom; density = 3.6 Mg/m³; DOS at the Fermi energy = 3.50 states/eV/cell
1.0
4.538 0.000 0.000
0.000 4.538 0.000
0.000 0.000 5.707
Mg Te P Cl
1 1 1 2
Cartesian
0.000 0.000 0.000
2.269 2.269 2.854
0.000 0.000 2.854
0.000 2.269 0.000
2.269 0.000 0.000

***

No. 14
TaMo3 PBEsol optimized geometry; magnetization = 0.000 μB/atom; E_form = -101 meV per atom; E = -12.065 eV/atom; density = 12.3 Mg/m³; DOS at the Fermi energy = 7.91 states/eV/cell
1.0
4.479 -4.460 0.000
4.479 4.460 0.000
-0.014 0.000 6.322
Ta Mo
4 12
Cartesian
0.000 0.000 0.000
-0.004 0.000 3.138
2.271 0.000 4.744
4.520 0.000 3.131
2.246 2.238 6.318
2.257 2.235 3.141
2.267 0.000 1.562
4.496 2.218 1.556
4.491 2.221 4.735
2.246 -2.238 6.318
2.257 -2.235 3.141
4.502 0.000 6.315
4.496 -2.218 1.556
6.722 0.000 1.556
6.716 0.000 4.736
4.491 -2.221 4.735

***

No. 15
BaCa2In2 PBEsol optimized geometry; magnetization = 0.000 μB/atom; E_form = -338 meV per atom; E = -2.814 eV/atom; density = 4.1 Mg/m³; DOS at the Fermi energy = 5.00 states/eV/cell
1.0
-2.555 2.555 6.857
2.555 -2.555 6.857
2.555 2.555 -6.857
Ba Ca In
1 2 2
Cartesian
0.000 0.000 0.000
2.555 0.000 3.428
0.000 2.555 3.428
0.000 0.000 5.462
0.000 0.000 8.251

***

No. 16
In2ReAu PBEsol optimized geometry; magnetization = 0.000 μB/atom; E_form = 432 meV per atom; E = -5.373 eV/atom; density = 14.1 Mg/m³; DOS at the Fermi energy = 1.91 states/eV/cell
1.0
4.734 -1.441 0.000
4.734 1.441 0.000
-1.046 0.000 5.281
In Re Au
2 1 1
Cartesian
2.083 0.000 1.288
6.339 0.000 3.993
4.734 0.000 0.000
-0.523 0.000 2.640

***

No. 17
Ag3GeC PBEsol optimized geometry; magnetization = 0.244 μB/atom; E_form = 1886 meV per atom; E = -3.017 eV/atom; density = 6.2 Mg/m³; DOS at the Fermi energy = 3.69 states/eV/cell
1.0
4.776 0.000 0.000
0.000 4.776 0.000
0.000 0.000 4.776
Ag Ge C
3 1 1
Cartesian
0.000 0.000 2.388
0.000 2.388 0.000
2.388 0.000 0.000
0.000 0.000 0.000
2.388 2.388 2.388

***

No. 18
AuSeN2F PBEsol optimized geometry; magnetization = 0.147 μB/atom; raw formation energy = 1.4120 eV per atom; E = -3.939 eV/atom; density = 8.1 Mg/m³; DOS at the Fermi energy = 3.14 states/eV/cell
1.0
4.021 0.000 0.000
0.000 4.021 0.000
0.000 0.000 4.114
Au Se N F
1 1 2 1
Cartesian
0.000 0.000 0.000
2.010 2.010 2.057
0.000 2.010 0.000
2.010 0.000 0.000
0.000 0.000 2.057

***

No. 19
GaBr2Cl PBEsol optimized geometry; magnetization = 0.000 μB/atom; raw formation energy = -0.0081 eV per atom; E = -2.280 eV/atom; density = 3.6 Mg/m³; DOS at the Fermi energy = 0.94 states/eV/cell
1.0
2.014 1.163 8.682
-2.014 1.163 8.682
0.000 -2.326 8.682
Ga Br Cl
1 2 1
Cartesian
0.000 0.000 0.000
0.000 0.000 2.201
0.000 0.000 23.843
0.000 0.000 13.022

***

No. 20
SrSiRu PBEsol optimized geometry; magnetization = 0.000 μB/atom; raw formation energy = -0.2828 eV per atom; E = -6.203 eV/atom; density = 6.3 Mg/m³; DOS at the Fermi energy = 0.69 states/eV/cell
1.0
-1.592 1.592 5.618
1.592 -1.592 5.618
1.592 1.592 -5.618
Sr Si Ru
1 1 1
Cartesian
0.000 0.000 0.000
0.000 0.000 7.994
0.000 0.000 3.302